[1]
! YErPd2, relaxed, DFT PBE; values from VASP
! DFT formation energy ... -899 meV/atom
! Size of the total moment ... 0.000 μB/atom
&SYSTEM
  ibrav = 0, nat = 4, ntyp = 3
/
ATOMIC_SPECIES
Y 88.91 Y.upf
Pd 106.42 Pd.upf
Er 167.26 Er.upf
CELL_PARAMETERS angstrom
4.9543 0.0000 0.0000
2.4771 4.2905 0.0000
2.4771 1.4302 4.0452
ATOMIC_POSITIONS angstrom
Y 4.9543 2.8604 2.0226
Pd 2.4771 1.4302 1.0113
Pd 7.4314 4.2905 3.0339
Er 0.0000 0.0000 0.0000

---

[2]
! YEr3Pd3, relaxed, DFT PBE; values from VASP
! DFT formation energy ... -721 meV/atom
! Size of the total moment ... 0.000 μB/atom
&SYSTEM
  ibrav = 0, nat = 7, ntyp = 3
/
ATOMIC_SPECIES
Y 88.91 Y.upf
Er 167.26 Er.upf
Pd 106.42 Pd.upf
CELL_PARAMETERS angstrom
0.3716 5.8037 -1.5412
-2.3452 -3.0977 -4.5291
-3.5209 -0.5842 4.8434
ATOMIC_POSITIONS angstrom
Y -1.1797 -1.5583 -2.2784
Er 0.1773 2.8882 -0.7860
Er -2.7581 1.0508 -0.6301
Er -1.7672 -0.3029 2.4034
Pd -0.9953 1.3423 -3.0518
Pd -1.5826 2.5982 1.6347
Pd -2.9420 -1.8523 0.1412

---

[3]
! YEr2Pd9, relaxed, DFT PBE; values from VASP
! DFT formation energy ... -878 meV/atom
! Size of the total moment ... 0.000 μB/atom
&SYSTEM
  ibrav = 0, nat = 12, ntyp = 3
/
ATOMIC_SPECIES
Y 88.91 Y.upf
Er 167.26 Er.upf
Pd 106.42 Pd.upf
CELL_PARAMETERS angstrom
4.1150 0.0000 0.0000
0.0000 4.1150 0.0000
0.0000 0.0000 12.3376
ATOMIC_POSITIONS angstrom
Y 0.0000 0.0000 0.0000
Er 0.0000 0.0000 4.1319
Er 0.0000 0.0000 8.2058
Pd 2.0575 2.0575 0.0000
Pd 2.0575 2.0575 4.1175
Pd 2.0575 2.0575 8.2201
Pd 2.0575 0.0000 2.0831
Pd 2.0575 0.0000 6.1688
Pd 2.0575 0.0000 10.2545
Pd 0.0000 2.0575 2.0831
Pd 0.0000 2.0575 6.1688
Pd 0.0000 2.0575 10.2545

---

[4]
! YEr2Pd, relaxed, DFT PBE; values from VASP
! DFT formation energy ... -316 meV/atom
! Size of the total moment ... 0.103 μB/atom
&SYSTEM
  ibrav = 0, nat = 4, ntyp = 3
/
ATOMIC_SPECIES
Y 88.91 Y.upf
Er 167.26 Er.upf
Pd 106.42 Pd.upf
CELL_PARAMETERS angstrom
-0.7818 3.3596 1.3734
-2.2904 0.3317 2.9031
6.3589 0.5348 7.3297
ATOMIC_POSITIONS angstrom
Y 1.6188 2.1154 5.7835
Er 4.9263 0.6697 6.1841
Er 0.4215 1.0942 2.5815
Pd -2.0365 2.4598 2.8603

---

[5]
! YErPd2, relaxed, DFT PBE; values from VASP
! DFT formation energy ... -900 meV/atom
! Size of the total moment ... 0.000 μB/atom
&SYSTEM
  ibrav = 0, nat = 4, ntyp = 3
/
ATOMIC_SPECIES
Y 88.91 Y.upf
Pd 106.42 Pd.upf
Er 167.26 Er.upf
CELL_PARAMETERS angstrom
3.4299 0.0000 0.0000
0.0000 4.9924 0.0000
0.0000 0.0000 4.9924
ATOMIC_POSITIONS angstrom
Y 1.7150 0.0000 0.0000
Pd 0.0000 0.0000 2.4962
Pd 0.0000 2.4962 0.0000
Er 1.7150 2.4962 2.4962

---

[6]
! YEr3Pd4, relaxed, DFT PBE; values from VASP
! DFT formation energy ... -913 meV/atom
! Size of the total moment ... 0.000 μB/atom
&SYSTEM
  ibrav = 0, nat = 16, ntyp = 3
/
ATOMIC_SPECIES
Y 88.91 Y.upf
Pd 106.42 Pd.upf
Er 167.26 Er.upf
CELL_PARAMETERS angstrom
-1.1500 3.4394 3.4054
-3.5634 -4.6715 3.5148
8.1780 -2.3639 5.1493
ATOMIC_POSITIONS angstrom
Y -1.7817 -2.3357 1.7574
Y 2.3073 -3.5177 4.3320
Pd -3.2590 -1.7988 4.3500
Pd 0.8301 -2.9808 6.9247
Pd -1.4545 0.5668 2.5702
Pd 2.6345 -0.6152 5.1448
Pd 3.4470 -5.2887 6.5146
Pd -1.7891 -0.6758 7.3369
Pd 0.0176 1.6927 5.5549
Pd 5.2537 -2.9202 4.7325
Er 0.0000 0.0000 0.0000
Er 4.0890 -1.1820 2.5746
Er 5.5577 -0.0510 5.5669
Er 1.4703 1.1264 2.9877
Er 3.7761 -2.3869 7.3241
Er -0.3115 -1.2091 4.7454

---

[7]
! Y4Er3Pd4, relaxed, DFT PBE; values from VASP
! DFT formation energy ... -589 meV/atom
! Size of the total moment ... 0.000 μB/atom
&SYSTEM
  ibrav = 0, nat = 11, ntyp = 3
/
ATOMIC_SPECIES
Y 88.91 Y.upf
Er 167.26 Er.upf
Pd 106.42 Pd.upf
CELL_PARAMETERS angstrom
3.8201 0.0000 0.0000
0.0000 9.2086 0.0000
-1.9101 -4.6043 7.8872
ATOMIC_POSITIONS angstrom
Y 0.0000 -1.7063 5.3496
Y 1.9101 2.8980 2.5376
Y 1.9101 6.3106 2.5376
Y 0.0000 1.7063 5.3496
Er 0.0000 0.0000 1.6955
Er 1.9101 4.6043 6.1917
Er 0.0000 4.6043 0.0000
Pd 0.0000 4.6043 3.9325
Pd 1.9101 0.0000 3.9548
Pd 1.9101 7.6816 0.0000
Pd 1.9101 1.5270 0.0000

---

[8]
! YEr4Pd4, relaxed, DFT PBE; values from VASP
! DFT formation energy ... -687 meV/atom
! Size of the total moment ... 0.000 μB/atom
&SYSTEM
  ibrav = 0, nat = 18, ntyp = 3
/
ATOMIC_SPECIES
Y 88.91 Y.upf
Er 167.26 Er.upf
Pd 106.42 Pd.upf
CELL_PARAMETERS angstrom
5.7085 0.0000 0.0000
0.0000 8.9628 0.0000
0.0000 0.0000 8.9628
ATOMIC_POSITIONS angstrom
Y 0.0000 0.0000 0.0000
Y 2.8543 4.4814 4.4814
Er 2.3459 2.9067 8.1238
Er 5.2002 5.3204 7.3881
Er 2.3459 6.0561 0.8390
Er 0.5084 1.5747 5.3204
Er 3.3627 8.1238 6.0561
Er 0.5084 7.3881 3.6424
Er 5.2002 3.6424 1.5747
Er 3.3627 0.8390 2.9067
Pd 3.3766 7.0288 3.3573
Pd 3.3766 1.9340 5.6055
Pd 0.5223 7.8387 6.4154
Pd 5.1862 2.5474 7.8387
Pd 5.1862 6.4154 1.1241
Pd 2.3319 3.3573 1.9340
Pd 2.3319 5.6055 7.0288
Pd 0.5223 1.1241 2.5474

---

[9]
! YEr6Pd3, relaxed, DFT PBE; values from VASP
! DFT formation energy ... -521 meV/atom
! Size of the total moment ... 0.000 μB/atom
&SYSTEM
  ibrav = 0, nat = 20, ntyp = 3
/
ATOMIC_SPECIES
Y 88.91 Y.upf
Er 167.26 Er.upf
Pd 106.42 Pd.upf
CELL_PARAMETERS angstrom
-5.0403 -2.6686 -4.4118
5.1342 -6.6910 -1.8185
-4.1583 -3.3496 6.7768
ATOMIC_POSITIONS angstrom
Y -1.4184 -4.5113 3.8851
Y -0.5229 -7.0738 -1.4803
Er 0.1708 -7.2875 2.2324
Er -3.0812 -8.3586 0.7034
Er -2.6446 -7.9678 4.0649
Er -1.5982 -10.5845 -1.4400
Er -4.6753 -3.8958 5.7724
Er -4.6382 -5.5011 2.5145
Er 2.9061 -5.9733 0.0733
Er 1.4841 -8.3510 -4.4617
Er -3.1760 -2.5005 1.3651
Er -2.1296 -5.1172 -4.1398
Er -0.1571 -3.9132 0.5661
Er -3.4092 -4.9843 -0.9629
Pd -0.5459 -9.6826 1.1137
Pd -4.9861 -10.3265 0.6838
Pd -2.1257 -5.7663 1.4830
Pd -3.2110 -7.6165 -2.0502
Pd -5.5891 -4.1228 -2.3797
Pd -1.1489 -3.4790 -1.9498

---

[10]
! YEr3Pd3, relaxed, DFT PBE; values from VASP
! DFT formation energy ... -713 meV/atom
! Size of the total moment ... 0.000 μB/atom
&SYSTEM
  ibrav = 0, nat = 14, ntyp = 3
/
ATOMIC_SPECIES
Y 88.91 Y.upf
Er 167.26 Er.upf
Pd 106.42 Pd.upf
CELL_PARAMETERS angstrom
6.8216 1.1399 0.3052
-2.0185 6.6150 0.3052
-0.3781 -0.6105 7.0164
ATOMIC_POSITIONS angstrom
Y 3.1954 5.1593 6.6159
Y 1.2295 1.9852 1.0108
Er 2.9963 4.8377 2.9660
Er -0.6420 5.3402 3.8134
Er 5.0670 1.8043 3.8134
Er 0.1781 5.2545 0.3052
Er 4.6249 2.5004 0.3052
Er 1.4287 2.3067 4.6608
Pd 4.4369 7.1638 1.9426
Pd 5.4841 3.9635 5.5203
Pd 1.1052 6.6756 5.5203
Pd -1.0592 3.1810 2.1065
Pd 3.3197 0.4689 2.1065
Pd -0.0120 -0.0193 5.6842

---

[11]
! Y2ErPd, relaxed, DFT PBE; values from VASP
! DFT formation energy ... -475 meV/atom
! Size of the total moment ... 0.000 μB/atom
&SYSTEM
  ibrav = 0, nat = 16, ntyp = 3
/
ATOMIC_SPECIES
Y 88.91 Y.upf
Er 167.26 Er.upf
Pd 106.42 Pd.upf
CELL_PARAMETERS angstrom
-4.3975 -1.8496 4.4003
-1.2257 -5.8323 -3.6764
6.9283 -4.6013 4.9896
ATOMIC_POSITIONS angstrom
Y -1.2104 -4.5828 -1.4273
Y 1.4159 -3.6860 2.9432
Y -0.1269 -5.9456 5.2378
Y 2.5316 -10.3521 4.6733
Y 2.5155 -7.7005 7.1408
Y -0.1108 -8.5972 2.7703
Y 1.4320 -6.3377 0.4757
Y -1.2265 -1.9311 1.0402
Er -1.6912 -5.3838 2.0967
Er -2.1160 -2.9042 4.9733
Er 2.9963 -6.8994 3.6168
Er 3.4212 -9.3791 0.7402
Pd 1.0446 -3.5193 0.0175
Pd -1.3509 -7.1852 -0.0370
Pd 0.2605 -8.7639 5.6960
Pd 2.6560 -5.0980 5.7505

---

[12]
! Y3ErPd6, relaxed, DFT PBE; values from VASP
! DFT formation energy ... -838 meV/atom
! Size of the total moment ... 0.000 μB/atom
&SYSTEM
  ibrav = 0, nat = 20, ntyp = 3
/
ATOMIC_SPECIES
Y 88.91 Y.upf
Er 167.26 Er.upf
Pd 106.42 Pd.upf
CELL_PARAMETERS angstrom
-4.4318 -1.4064 1.5804
-2.9516 0.7145 -7.6408
3.5288 -9.8594 1.1213
ATOMIC_POSITIONS angstrom
Y -1.2664 -3.7750 -3.0958
Y -2.5881 -6.7763 -1.8433
Y 0.6743 -8.0493 -1.4576
Y -4.5289 -2.5019 -3.4816
Y 0.0604 -9.6182 -4.5752
Y -3.9150 -0.9331 -0.3639
Er -1.7299 -5.6317 -6.0477
Er -2.1247 -4.9196 1.1085
Pd -2.0794 -0.9433 -2.8555
Pd -1.7752 -9.6079 -2.0837
Pd -0.8363 -2.2088 -0.4960
Pd -3.0182 -8.3424 -4.4431
Pd -0.5448 -6.8428 -3.8023
Pd -3.3098 -3.7085 -1.1368
Pd 0.0031 -5.2941 -0.8877
Pd -3.8577 -5.2571 -4.0514
Pd -2.5411 -2.7637 -5.7702
Pd -1.3135 -7.7875 0.8311
Pd 1.8100 -8.9655 0.9118
Pd -5.6646 -1.5857 -5.8509